Material: BaHg2Bi2
Method: DFT, PBEsol
State: optimized geometry

a = 4.9757 Å, b = 4.9757 Å, c = 7.4606 Å
α = 109.48°, β = 109.48°, γ = 90.00°
Last column: nearest neighbours and their distance in Å.
Positions (direct):
Bi1 0.6191 0.6191 0.2381  4 Hg 3.03, 1 Bi 3.13
Bi2 0.3809 0.3809 0.7619  4 Hg 3.03, 1 Bi 3.13
Ba1 0.0000 0.0000 0.0000  8 Bi 3.85, 8 Hg 4.12
Hg1 0.2500 0.7500 0.5000  4 Bi 3.03
Hg2 0.7500 0.2500 0.5000  4 Bi 3.03

ΔE to the lowest computed polymorph: 0.07 eV per formula unit
E_form: -354.3 meV per atom
M_tot: 0.0 μB per formula unit
space-group type: I4/mmm (139)
final energy: -2.72 eV/atom


Material: CdIn2Br
Method: DFT, PBEsol
State: optimized geometry

a = 3.5435 Å, b = 3.5435 Å, c = 9.8062 Å
α = 79.59°, β = 79.59°, γ = 60.00°
Last column: nearest neighbours and their distance in Å.
Positions (direct):
In1 0.7522 0.7522 0.7434  3 Br 3.10, 3 Cd 3.20
In2 0.2478 0.2478 0.2566  3 Br 3.10, 3 Cd 3.20
Br1 0.5000 0.5000 0.5000  6 In 3.10
Cd1 0.0000 0.0000 0.0000  6 In 3.20, 6 Cd 3.54

M_tot: 0.0 μB per formula unit
space-group type: R-3m (166)
ΔE_f (raw): -0.153 eV/atom
final energy: -2.41 eV/atom


Material: Ba3CoPb
Method: DFT, PBEsol
State: optimized geometry

a = 5.6323 Å, b = 5.6323 Å, c = 5.6323 Å
α = 90.00°, β = 90.00°, γ = 90.00°
Last column: nearest neighbours and their distance in Å.
Positions (direct):
Co1 0.0000 0.0000 0.0000  6 Ba 2.82
Ba1 0.5000 0.0000 0.0000  2 Co 2.82
Ba2 0.0000 0.5000 0.0000  2 Co 2.82
Ba3 0.0000 0.0000 0.5000  2 Co 2.82
Pb1 0.5000 0.5000 0.5000  12 Ba 3.98

E_form: 39.4 meV per atom
M_tot: 0.0 μB per formula unit
space-group type: Pm-3m (221)
final energy: -3.60 eV/atom


Material: LaSb2PbI
Method: DFT, PBEsol
State: optimized geometry

a = 5.9444 Å, b = 5.9814 Å, c = 5.9814 Å
α = 90.00°, β = 90.00°, γ = 90.00°
Last column: nearest neighbours and their distance in Å.
Positions (direct):
Sb1 0.0000 0.0000 0.5000  2 La 2.99
Sb2 0.0000 0.5000 0.0000  2 La 2.99
Pb1 0.5000 0.5000 0.5000  8 Sb 4.22, 4 I 4.23
I1 0.5000 0.0000 0.0000  2 La 2.97
La1 0.0000 0.0000 0.0000  2 I 2.97, 4 Sb 2.99

M_tot: 0.0 μB per formula unit
space-group type: P4/mmm (123)
ΔE_f (raw): 0.169 eV/atom
final energy: -3.88 eV/atom